VASP calculation (GGA-PBE) on a geometry-optimized CdSiSe2 structure.

Calculated values
- energy relative to the elements, uncorrected (meV/atom) = 27
- VASP energy (eV per cell) = -26.4

Structure (CIF):
```
data_CdSiSe2
_symmetry_space_group_name_H-M 'I m m m'
_symmetry_Int_Tables_number 71
_symmetry_space_group_name_Hall '-I 2 2'
_cell_length_a 3.350
_cell_length_b 5.106
_cell_length_c 11.649
_cell_angle_alpha 90.00
_cell_angle_beta 90.00
_cell_angle_gamma 90.00
loop_
_atom_site_label
_atom_site_type_symbol
_atom_site_fract_x
_atom_site_fract_y
_atom_site_fract_z
Cd1 Cd 0.000 0.000 0.000
Si1 Si 0.000 0.000 0.500
Se1 Se 0.000 0.500 0.149
```